Entry 1:
The following is a DFT calculation (PBE) of an optimized crystal structure of KInHgAu2.

formation enthalpy at 0 K: -0.09 eV/atom
crystal system: tetragonal
space-group type: P4/mmm (123)
E above lowest polymorph: 123 meV/atom
electronic total energy: -2.2326 eV/atom

abc: 5.3725 5.3725 5.6856
angles: 90.00 90.00 90.00
Sites, in units of the cell vectors:
Au: 0.0000 0.5000 0.0000
Au: 0.5000 0.0000 0.0000
Hg: 0.0000 0.0000 0.5000
K: 0.5000 0.5000 0.5000
In: 0.0000 0.0000 0.0000

Entry 2:
The following is a DFT calculation (PBE) of an optimized crystal structure of SrW2Cl.

raw formation energy: 2.258 eV/atom
crystal system: cubic
space-group type: Fm-3m (225)
E above lowest polymorph: 2141 meV/atom
electronic total energy: -5.1007 eV/atom

abc: 4.8158 4.8158 4.8158
angles: 60.00 60.00 60.00
Sites, in units of the cell vectors:
Sr: 0.5000 0.5000 0.5000
W: 0.2500 0.2500 0.2500
W: 0.7500 0.7500 0.7500
Cl: 0.0000 0.0000 0.0000

Entry 3:
The following is a DFT calculation (PBE) of an optimized crystal structure of KAlCd2Au.

formation enthalpy at 0 K: -0.01 eV/atom
crystal system: tetragonal
space-group type: P4/mmm (123)
electronic total energy: -2.0022 eV/atom

abc: 5.4122 5.4122 5.0448
angles: 90.00 90.00 90.00
Sites, in units of the cell vectors:
Cd: 0.5000 0.0000 0.0000
Cd: 0.0000 0.5000 0.0000
Al: 0.0000 0.0000 0.0000
Au: 0.0000 0.0000 0.5000
K: 0.5000 0.5000 0.5000

Entry 4:
The following is a DFT calculation (PBE) of an optimized crystal structure of FeOs2Rh.

formation enthalpy at 0 K: 0.08 eV/atom
crystal system: orthorhombic
space-group type: Pmm2 (25)
E above lowest polymorph: 0 meV/atom
electronic total energy: -9.4899 eV/atom

abc: 2.7201 3.7747 5.3693
angles: 90.00 90.00 90.00
Each line ends with the local moment (μB).
Sites, in units of the cell vectors:
Rh: 0.0000 0.0000 0.5103  0.17
Fe: 0.5000 0.5000 0.7503  2.50
Os: 0.0000 0.0000 0.0026  -0.08
Os: 0.5000 0.5000 0.2368  0.01

Entry 5:
The following is a DFT calculation (PBE) of an optimized crystal structure of CaRuAu3.

formation enthalpy at 0 K: 0.28 eV/atom
crystal system: cubic
space-group type: Pm-3m (221)
E above lowest polymorph: 0 meV/atom
electronic total energy: -3.9434 eV/atom

abc: 5.0571 5.0571 5.0571
angles: 90.00 90.00 90.00
Each line ends with the local moment (μB).
Sites, in units of the cell vectors:
Au: 0.5000 0.0000 0.0000  0.03
Au: 0.0000 0.5000 0.0000  0.09
Au: 0.0000 0.0000 0.5000  0.21
Ca: 0.5000 0.5000 0.5000  -0.01
Ru: 0.0000 0.0000 0.0000  1.40

Entry 6:
The following is a DFT calculation (PBE) of an optimized crystal structure of Pm6YTm2Mg.

formation enthalpy at 0 K: 0.12 eV/atom
crystal system: monoclinic
space-group type: C2/c (15)
electronic total energy: -4.4318 eV/atom

abc: 9.3024 8.9122 8.9122
angles: 117.57 92.59 92.59
Sites, in units of the cell vectors:
Pm: 0.4485 0.2242 0.8676
Pm: 0.0515 0.1324 0.7758
Pm: 0.9485 0.8676 0.2242
Pm: 0.5515 0.7758 0.1324
Pm: 0.1059 0.7149 0.4990
Pm: 0.8941 0.2851 0.5010
Pm: 0.1993 0.5648 0.9976
Pm: 0.8007 0.4352 0.0024
Pm: 0.6059 0.4990 0.7149
Pm: 0.3007 0.0024 0.4352
Pm: 0.6993 0.9976 0.5648
Pm: 0.3941 0.5010 0.2851
Tm: 0.5505 0.2039 0.3138
Tm: 0.9495 0.6862 0.7961
Tm: 0.0505 0.3138 0.2039
Tm: 0.4495 0.7961 0.6862
Y: 0.7500 0.0248 0.9752
Y: 0.2500 0.9752 0.0248
Mg: 0.2500 0.4176 0.5824
Mg: 0.7500 0.5824 0.4176

Entry 7:
The following is a DFT calculation (PBE) of an optimized crystal structure of LiTlCo2Cu.

formation enthalpy at 0 K: 0.86 eV/atom
crystal system: tetragonal
space-group type: P4/mmm (123)
electronic total energy: -3.6608 eV/atom

abc: 4.1322 4.1770 4.1322
angles: 90.00 90.00 90.00
Each line ends with the local moment (μB).
Sites, in units of the cell vectors:
Co: 0.5000 0.0000 0.0000  1.08
Co: 0.0000 0.0000 0.5000  1.18
Cu: 0.0000 0.5000 0.0000  0.00
Li: 0.0000 0.0000 0.0000  -0.07
Tl: 0.5000 0.5000 0.5000  -0.04